DFT (PBE-GGA) results for GdGa2Sb after structural relaxation.

Cell lengths 4.5383, 4.5383, 4.3888 Å; angles 90.00, 90.00, 90.00 degrees
With the nearest neighbours (Å) after each atom.
Space group P4/mmm (No. 123)
Unique sites:
Gd 0.0000 0.0000 0.0000 (multiplicity 1)  8 Ga 3.16, 4 Sb 3.21
Ga 0.0000 0.5000 0.5000 (multiplicity 2)  4 Gd 3.16, 4 Sb 3.16, 4 Ga 3.21
Sb 0.5000 0.5000 0.0000 (multiplicity 1)  8 Ga 3.16, 4 Gd 3.21

Values from the calculation:
Final energy in eV per atom: -6.603
ΔE to the lowest computed polymorph in meV/atom: 0
Crystal system: tetragonal
DOS at the Fermi energy in states/eV/f.u.: 1.0
Formation energy without anion corrections in eV per atom: -0.5390

=====

DFT (PBE-GGA) results for GdGaSb2 after structural relaxation.

Cell lengths 3.6949, 3.6949, 29.7181 Å; angles 90.00, 90.00, 120.00 degrees
With the nearest neighbours (Å) after each atom.
Space group R-3m (No. 166, hexagonal axes)
Unique sites:
Gd 0.0000 0.0000 0.0000 (multiplicity 3)  2 Sb 3.10
Ga 0.0000 0.0000 0.5000 (multiplicity 3)  6 Sb 2.83
Sb 0.0000 0.0000 0.1043 (multiplicity 6)  3 Ga 2.83, 1 Gd 3.10

Values from the calculation:
Final energy in eV per atom: -6.237
ΔE to the lowest computed polymorph in meV/atom: 613
Crystal system: trigonal
DOS at the Fermi energy in states/eV/f.u.: 4.0
Formation energy without anion corrections in eV per atom: 0.1012

=====

DFT (PBE-GGA) results for Gd2GaSb after structural relaxation.

Cell lengths 3.9347, 3.9347, 6.6636 Å; angles 90.00, 90.00, 90.00 degrees
With the nearest neighbours (Å) after each atom.
Space group P4/mmm (No. 123)
Unique sites:
Gd 0.0000 0.0000 0.2479 (multiplicity 2)  4 Ga 3.24, 4 Sb 3.25, 2 Gd 3.30-3.36
Ga 0.5000 0.5000 0.0000 (multiplicity 1)  8 Gd 3.24, 2 Sb 3.33
Sb 0.5000 0.5000 0.5000 (multiplicity 1)  8 Gd 3.25, 2 Ga 3.33

Values from the calculation:
Final energy in eV per atom: -9.567
ΔE to the lowest computed polymorph in meV/atom: 0
Crystal system: tetragonal
DOS at the Fermi energy in states/eV/f.u.: 2.1
Formation energy without anion corrections in eV per atom: -0.7393

=====

DFT (PBE-GGA) results for GdGaSb after structural relaxation.

Cell lengths 3.7751, 3.7751, 10.3536 Å; angles 90.00, 90.00, 90.00 degrees
With the nearest neighbours (Å) after each atom.
Space group I4mm (No. 107)
Unique sites:
Gd 0.0000 0.0000 0.0000 (multiplicity 2)  5 Ga 3.24-3.30, 5 Sb 3.24-3.30
Ga 0.0000 0.0000 0.3128 (multiplicity 2)  4 Sb 2.97, 5 Gd 3.24-3.30
Sb 0.0000 0.0000 0.6869 (multiplicity 2)  4 Ga 2.97, 5 Gd 3.24-3.30

Values from the calculation:
Final energy in eV per atom: -7.579
ΔE to the lowest computed polymorph in meV/atom: 14
Crystal system: tetragonal
DOS at the Fermi energy in states/eV/f.u.: 2.0
Formation energy without anion corrections in eV per atom: -0.5027

=====

DFT (PBE-GGA) results for GdGaSb after structural relaxation.

Cell lengths 4.6941, 4.6941, 4.0114 Å; angles 90.00, 90.00, 120.00 degrees
With the nearest neighbours (Å) after each atom.
Space group P3m1 (No. 156)
Unique sites:
Gd 0.0000 0.0000 0.0000 (multiplicity 1)  3 Ga 3.11, 6 Sb 3.28-3.47
Ga 0.3333 0.6667 0.6174 (multiplicity 1)  3 Sb 2.78, 3 Gd 3.11
Sb 0.6667 0.3333 0.4590 (multiplicity 1)  3 Ga 2.78

Values from the calculation:
Final energy in eV per atom: -7.593
ΔE to the lowest computed polymorph in meV/atom: 0
Crystal system: trigonal
DOS at the Fermi energy in states/eV/f.u.: 2.4
Formation energy without anion corrections in eV per atom: -0.5165

=====

DFT (PBE-GGA) results for GdScGa2 after structural relaxation.

Cell lengths 6.9748, 6.9748, 6.9748 Å; angles 90.00, 90.00, 90.00 degrees
With the nearest neighbours (Å) after each atom.
Space group Fm-3m (No. 225)
Unique sites:
Gd 0.0000 0.0000 0.0000 (multiplicity 4)  8 Ga 3.02
Sc 0.0000 0.0000 0.5000 (multiplicity 4)  8 Ga 3.02
Ga 0.2500 0.2500 0.2500 (multiplicity 8)  4 Gd 3.02, 4 Sc 3.02

Values from the calculation:
E_form in eV per atom: -0.575
Final energy in eV per atom: -7.192
ΔE to the lowest computed polymorph in meV/atom: 21
Crystal system: cubic
DOS at the Fermi energy in states/eV/f.u.: 1.8

=====

DFT (PBE-GGA) results for GdScGa after structural relaxation.

Cell lengths 4.8266, 4.8266, 3.6407 Å; angles 90.00, 90.00, 120.00 degrees
With the nearest neighbours (Å) after each atom.
Space group P-6m2 (No. 187)
Unique sites:
Gd 0.0000 0.0000 0.0000 (multiplicity 1)  6 Sc 3.33, 6 Ga 3.33, 2 Gd 3.64
Sc 0.6667 0.3333 0.5000 (multiplicity 1)  3 Ga 2.79
Ga 0.3333 0.6667 0.5000 (multiplicity 1)  3 Sc 2.79

Values from the calculation:
E_form in eV per atom: -0.329
Final energy in eV per atom: -8.143
ΔE to the lowest computed polymorph in meV/atom: 39
Crystal system: hexagonal
DOS at the Fermi energy in states/eV/f.u.: 2.0

=====

DFT (PBE-GGA) results for GdScGa2 after structural relaxation.

Cell lengths 3.4797, 3.4797, 6.9867 Å; angles 90.00, 90.00, 90.00 degrees
With the nearest neighbours (Å) after each atom.
Space group P4/mmm (No. 123)
Unique sites:
Gd 0.0000 0.0000 0.0000 (multiplicity 1)  8 Ga 3.13, 4 Gd 3.48, 2 Sc 3.49
Sc 0.0000 0.0000 0.5000 (multiplicity 1)  8 Ga 2.92
Ga 0.5000 0.5000 0.2760 (multiplicity 2)  4 Sc 2.92, 4 Gd 3.13, 1 Ga 3.13

Values from the calculation:
E_form in eV per atom: -0.596
Final energy in eV per atom: -7.212
ΔE to the lowest computed polymorph in meV/atom: 0
Crystal system: tetragonal
DOS at the Fermi energy in states/eV/f.u.: 2.1

=====

DFT (PBE-GGA) results for GdSc2Ga after structural relaxation.

Cell lengths 7.1449, 7.1449, 7.1449 Å; angles 90.00, 90.00, 90.00 degrees
With the nearest neighbours (Å) after each atom.
Space group Fm-3m (No. 225)
Unique sites:
Gd 0.0000 0.0000 0.0000 (multiplicity 4)  8 Sc 3.09
Sc 0.2500 0.2500 0.2500 (multiplicity 8)  4 Ga 3.09, 4 Gd 3.09
Ga 0.0000 0.0000 0.5000 (multiplicity 4)  8 Sc 3.09

Values from the calculation:
E_form in eV per atom: -0.126
Final energy in eV per atom: -7.569
ΔE to the lowest computed polymorph in meV/atom: 156
Crystal system: cubic
DOS at the Fermi energy in states/eV/f.u.: 6.6

=====

DFT (PBE-GGA) results for GdSc2Ga after structural relaxation.

Cell lengths 4.5189, 4.5189, 4.5178 Å; angles 90.00, 90.00, 90.00 degrees
With the nearest neighbours (Å) after each atom.
Space group P4/mmm (No. 123)
Unique sites:
Gd 0.0000 0.0000 0.0000 (multiplicity 1)  8 Sc 3.19, 4 Ga 3.20
Sc 0.0000 0.5000 0.5000 (multiplicity 2)  4 Ga 3.19, 4 Gd 3.19, 4 Sc 3.20
Ga 0.5000 0.5000 0.0000 (multiplicity 1)  8 Sc 3.19, 4 Gd 3.20

Values from the calculation:
E_form in eV per atom: -0.277
Final energy in eV per atom: -7.720
ΔE to the lowest computed polymorph in meV/atom: 5
Crystal system: tetragonal
DOS at the Fermi energy in states/eV/f.u.: 4.0

=====

DFT (PBE-GGA) results for Gd2ScGa after structural relaxation.

Cell lengths 7.4095, 7.4095, 7.4095 Å; angles 90.00, 90.00, 90.00 degrees
With the nearest neighbours (Å) after each atom.
Space group Fm-3m (No. 225)
Unique sites:
Gd 0.2500 0.2500 0.2500 (multiplicity 8)  4 Sc 3.21, 4 Ga 3.21
Sc 0.0000 0.0000 0.0000 (multiplicity 4)  8 Gd 3.21
Ga 0.0000 0.0000 0.5000 (multiplicity 4)  8 Gd 3.21

Values from the calculation:
E_form in eV per atom: -0.162
Final energy in eV per atom: -9.542
ΔE to the lowest computed polymorph in meV/atom: 104
Crystal system: cubic
DOS at the Fermi energy in states/eV/f.u.: 5.2

=====

DFT (PBE-GGA) results for GdScGa after structural relaxation.

Cell lengths 3.4504, 3.4504, 12.0655 Å; angles 90.00, 90.00, 90.00 degrees
With the nearest neighbours (Å) after each atom.
Space group I4mm (No. 107)
Unique sites:
Gd 0.0000 0.0000 0.0000 (multiplicity 2)  4 Ga 3.15, 4 Gd 3.45, 4 Sc 3.46
Sc 0.0000 0.0000 0.2971 (multiplicity 2)  4 Ga 2.91
Ga 0.0000 0.0000 0.6654 (multiplicity 2)  4 Sc 2.91, 4 Gd 3.15

Values from the calculation:
E_form in eV per atom: -0.369
Final energy in eV per atom: -8.182
ΔE to the lowest computed polymorph in meV/atom: 0
Crystal system: tetragonal
DOS at the Fermi energy in states/eV/f.u.: 3.7

=====

DFT (PBE-GGA) results for GdScGa4 after structural relaxation.

Cell lengths 7.6897, 7.6897, 7.6897 Å; angles 90.00, 90.00, 90.00 degrees
With the nearest neighbours (Å) after each atom.
Space group F-43m (No. 216)
Unique sites:
Gd 0.0000 0.0000 0.0000 (multiplicity 4)  12 Ga 3.19, 4 Sc 3.33
Sc 0.2500 0.2500 0.2500 (multiplicity 4)  12 Ga 3.19, 4 Gd 3.33
Ga 0.1248 0.1248 0.6248 (multiplicity 16)  6 Ga 2.72

Values from the calculation:
E_form in eV per atom: -0.522
Final energy in eV per atom: -5.942
Crystal system: cubic
DOS at the Fermi energy in states/eV/f.u.: 3.4

=====

DFT (PBE-GGA) results for GdScGa2 after structural relaxation.

Cell lengths 3.5176, 3.5176, 25.9459 Å; angles 90.00, 90.00, 120.00 degrees
With the nearest neighbours (Å) after each atom.
Space group R-3m (No. 166, hexagonal axes)
Unique sites:
Gd 0.0000 0.0000 0.0000 (multiplicity 3)  6 Ga 3.06
Sc 0.0000 0.0000 0.5000 (multiplicity 3)  6 Ga 2.88
Ga 0.0000 0.0000 0.2452 (multiplicity 6)  3 Sc 2.88, 3 Gd 3.06

Values from the calculation:
E_form in eV per atom: -0.389
Final energy in eV per atom: -7.006
ΔE to the lowest computed polymorph in meV/atom: 207
Crystal system: trigonal
DOS at the Fermi energy in states/eV/f.u.: 2.4

=====

DFT (PBE-GGA) results for Gd2ScGa after structural relaxation.

Cell lengths 3.4060, 3.4060, 34.3963 Å; angles 90.00, 90.00, 120.00 degrees
With the nearest neighbours (Å) after each atom.
Space group R-3m (No. 166, hexagonal axes)
Unique sites:
Gd 0.0000 0.0000 0.0880 (multiplicity 6)  1 Ga 3.03, 3 Sc 3.35
Sc 0.0000 0.0000 0.5000 (multiplicity 3)  6 Gd 3.35, 6 Sc 3.41
Ga 0.0000 0.0000 0.0000 (multiplicity 3)  2 Gd 3.03

Values from the calculation:
E_form in eV per atom: 0.154
Final energy in eV per atom: -9.227
ΔE to the lowest computed polymorph in meV/atom: 419
Crystal system: trigonal
DOS at the Fermi energy in states/eV/f.u.: 4.2

=====

DFT (PBE-GGA) results for Gd2ScGa after structural relaxation.

Cell lengths 4.6695, 4.6695, 4.5995 Å; angles 90.00, 90.00, 90.00 degrees
With the nearest neighbours (Å) after each atom.
Space group P4/mmm (No. 123)
Unique sites:
Gd 0.0000 0.5000 0.0000 (multiplicity 2)  4 Sc 3.28, 4 Ga 3.28, 4 Gd 3.30
Sc 0.0000 0.0000 0.5000 (multiplicity 1)  8 Gd 3.28, 4 Ga 3.30
Ga 0.5000 0.5000 0.5000 (multiplicity 1)  8 Gd 3.28, 4 Sc 3.30

Values from the calculation:
E_form in eV per atom: -0.266
Final energy in eV per atom: -9.646
ΔE to the lowest computed polymorph in meV/atom: 0
Crystal system: tetragonal
DOS at the Fermi energy in states/eV/f.u.: 3.6

=====

DFT (PBE-GGA) results for GdScGa after structural relaxation.

Cell lengths 6.8511, 6.8511, 6.8511 Å; angles 90.00, 90.00, 90.00 degrees
With the nearest neighbours (Å) after each atom.
Space group F-43m (No. 216)
Unique sites:
Gd 0.0000 0.0000 0.0000 (multiplicity 4)  4 Ga 2.97
Sc 0.0000 0.0000 0.5000 (multiplicity 4)  4 Ga 2.97
Ga 0.2500 0.2500 0.7500 (multiplicity 4)  4 Gd 2.97, 4 Sc 2.97

Values from the calculation:
E_form in eV per atom: -0.251
Final energy in eV per atom: -8.064
ΔE to the lowest computed polymorph in meV/atom: 118
Crystal system: cubic
DOS at the Fermi energy in states/eV/f.u.: 4.1

=====

DFT (PBE-GGA) results for Gd2ScGa after structural relaxation.

Cell lengths 3.9386, 3.9386, 6.6364 Å; angles 90.00, 90.00, 90.00 degrees
With the nearest neighbours (Å) after each atom.
Space group P4/mmm (No. 123)
Unique sites:
Gd 0.0000 0.0000 0.2345 (multiplicity 2)  1 Gd 3.11, 4 Ga 3.19, 4 Sc 3.30
Sc 0.5000 0.5000 0.5000 (multiplicity 1)  8 Gd 3.30, 2 Ga 3.32
Ga 0.5000 0.5000 0.0000 (multiplicity 1)  8 Gd 3.19, 2 Sc 3.32

Values from the calculation:
E_form in eV per atom: -0.232
Final energy in eV per atom: -9.612
ΔE to the lowest computed polymorph in meV/atom: 34
Crystal system: tetragonal
DOS at the Fermi energy in states/eV/f.u.: 4.3

=====

DFT (PBE-GGA) results for GdSc2Ga after structural relaxation.

Cell lengths 3.3355, 3.3355, 8.4854 Å; angles 90.00, 90.00, 90.00 degrees
With the nearest neighbours (Å) after each atom.
Space group P4/mmm (No. 123)
Unique sites:
Gd 0.0000 0.0000 0.0000 (multiplicity 1)  4 Gd 3.34, 8 Sc 3.44
Sc 0.5000 0.5000 0.2959 (multiplicity 2)  4 Ga 2.93
Ga 0.0000 0.0000 0.5000 (multiplicity 1)  8 Sc 2.93

Values from the calculation:
E_form in eV per atom: -0.282
Final energy in eV per atom: -7.725
ΔE to the lowest computed polymorph in meV/atom: 0
Crystal system: tetragonal
DOS at the Fermi energy in states/eV/f.u.: 4.4

=====

DFT (PBE-GGA) results for SmGdScGa after structural relaxation.

Cell lengths 7.4402, 7.4402, 7.4402 Å; angles 90.00, 90.00, 90.00 degrees
With the nearest neighbours (Å) after each atom.
Space group F-43m (No. 216)
Unique sites:
Sm 0.0000 0.0000 0.0000 (multiplicity 4)  4 Sc 3.22, 4 Ga 3.22
Gd 0.0000 0.0000 0.5000 (multiplicity 4)  4 Ga 3.22, 4 Sc 3.22
Sc 0.2500 0.2500 0.2500 (multiplicity 4)  4 Gd 3.22, 4 Sm 3.22
Ga 0.2500 0.2500 0.7500 (multiplicity 4)  4 Gd 3.22, 4 Sm 3.22

Values from the calculation:
E_form in eV per atom: -0.156
Final energy in eV per atom: -7.196
Crystal system: cubic
DOS at the Fermi energy in states/eV/f.u.: 5.1